A relaxed ScVAs2O8 crystal, computed with PBE with a Hubbard U.

POSCAR file:
```
ScVAs2O8
1.0
-3.391 3.391 3.078
3.391 -3.391 3.078
3.391 3.391 -3.078
Sc V As O
1 1 2 8
Cartesian
0.000 0.000 0.000
0.000 3.391 1.539
3.391 0.000 1.539
0.000 0.000 3.078
2.127 0.000 0.374
4.654 0.000 0.374
3.391 2.113 -1.150
3.391 -1.264 2.704
0.000 1.277 1.928
3.391 1.264 2.704
2.113 3.391 1.150
1.277 0.000 4.227
```

**Crystal system**: tetragonal
**Raw total energy**: -7.042 eV/atom
**SG**: I-4m2, No. 119